# 1
# Mg5Cd3

Mg5Cd3 after structural relaxation (PBE-GGA, Alexandria).

Unit cell a=8.897 b=9.167 c=4.308 alpha=90.00 beta=90.00 gamma=90.00
Space group Cmmm (No. 65)
Unique sites:
Mg1 0.000 0.000 0.000 [2 per cell]
Mg2 0.241 0.500 0.500 [4 per cell]
Mg3 0.250 0.250 0.000 [4 per cell]
Cd1 0.000 0.239 0.500 [4 per cell]
Cd2 0.000 0.500 0.000 [2 per cell]

Calculated values
Its magnetic moment is 0.0000 μB/atom. For the formation energy, the calculation gives -0.081 eV per atom. For the total energy, the calculation gives -1.421 eV per atom. The density is 4.34 Mg/m³. The offset from the most stable computed form is 0 kJ/mol of formula units.

---

# 2
# KTe2Os

KTe2Os after structural relaxation (PBE-GGA, Alexandria).

Unit cell a=3.334 b=3.762 c=17.114 alpha=90.00 beta=90.00 gamma=90.00
Space group Imm2 (No. 44)
Unique sites:
K1 0.000 0.000 0.000 [2 per cell]
Te1 0.000 0.000 0.640 [2 per cell]
Te2 0.000 0.500 0.322 [2 per cell]
Os1 0.000 0.500 0.749 [2 per cell]

Calculated values
The uncorrected formation energy is 96 meV per atom. Its magnetic moment is 0.0000 μB/atom. For the total energy, the calculation gives -4.557 eV per atom. The density is 7.50 Mg/m³. The offset from the most stable computed form is 102 kJ/mol of formula units.

---

# 3
# Nb8AuC2

Nb8AuC2 after structural relaxation (PBE-GGA, Alexandria).

Unit cell a=4.708 b=5.380 c=13.982 alpha=90.00 beta=90.00 gamma=90.00
Space group Immm (No. 71)
Unique sites:
Nb1 0.000 0.000 0.114 [4 per cell]
Nb2 0.000 0.242 0.402 [8 per cell]
Nb3 0.000 0.500 0.226 [4 per cell]
Au1 0.000 0.500 0.000 [2 per cell]
C1 0.000 0.000 0.268 [4 per cell]

Calculated values
Its magnetic moment is 0.0000 μB/atom. For the formation energy, the calculation gives 0.093 eV per atom. For the total energy, the calculation gives -9.205 eV per atom. The density is 9.04 Mg/m³.

---

# 4
# SrMg2Cd2Ag2

SrMg2Cd2Ag2 after structural relaxation (PBE-GGA, Alexandria).

Unit cell a=4.7950 b=4.7950 c=25.8769 alpha=90.00 beta=90.00 gamma=120.00
Space group R-3m (No. 166, hexagonal axes)
Unique sites:
Sr1 0.0000 0.0000 0.0000 [3 per cell]
Mg1 0.0000 0.0000 0.1372 [6 per cell]
Cd1 0.0000 0.0000 0.2535 [6 per cell]
Ag1 0.0000 0.0000 0.4416 [6 per cell]

Calculated values
Its magnetic moment is 0.0000 μB/atom. For the formation energy, the calculation gives -0.178 eV per atom. For the total energy, the calculation gives -1.950 eV per atom. The density is 5.58 Mg/m³.

---

Please write out number 2 again, unchanged.
# KTe2Os

KTe2Os after structural relaxation (PBE-GGA, Alexandria).

Unit cell a=3.334 b=3.762 c=17.114 alpha=90.00 beta=90.00 gamma=90.00
Space group Imm2 (No. 44)
Unique sites:
K1 0.000 0.000 0.000 [2 per cell]
Te1 0.000 0.000 0.640 [2 per cell]
Te2 0.000 0.500 0.322 [2 per cell]
Os1 0.000 0.500 0.749 [2 per cell]

Calculated values
The uncorrected formation energy is 96 meV per atom. Its magnetic moment is 0.0000 μB/atom. For the total energy, the calculation gives -4.557 eV per atom. The density is 7.50 Mg/m³. The offset from the most stable computed form is 102 kJ/mol of formula units.